RbSmHo2: relaxed, GGA-PBE.

Lattice parameters (Å, degrees): 3.6265 3.6265 13.3956 82.22 82.22 60.00
Positions (direct):
Rb 0.0000 0.0000 0.0000
Ho 0.0953 0.0953 0.7140
Ho 0.9047 0.9047 0.2860
Sm 0.5000 0.5000 0.5000

Calculated values
Space group ... R-3m, No. 166
ΔH_f (0 K) ... 30.03 kJ/mol of atoms
VASP energy ... -3.40 eV/atom
Total moment ... 0.0 μB/f.u.

***

RbSm2Ho: relaxed, GGA-PBE.

Lattice parameters (Å, degrees): 3.6580 3.6580 13.5670 82.25 82.25 60.00
Positions (direct):
Rb 0.0000 0.0000 0.0000
Ho 0.5000 0.5000 0.5000
Sm 0.0965 0.0965 0.7105
Sm 0.9035 0.9035 0.2895

Calculated values
Space group ... R-3m, No. 166
ΔH_f (0 K) ... 25.40 kJ/mol of atoms
VASP energy ... -3.48 eV/atom
Total moment ... 0.0 μB/f.u.

***

Rb4Sm3HoTe8: relaxed, GGA-PBE.

Lattice parameters (Å, degrees): 9.1612 10.0665 9.1614 117.07 120.00 90.00
Positions (direct):
Rb 0.5000 0.0000 0.0000
Rb 0.5000 0.0000 0.5000
Rb 0.0000 0.0000 0.0000
Rb 0.0000 0.0000 0.5000
Sm 0.5000 0.5000 0.0000
Sm 0.5000 0.5000 0.5000
Sm 0.0000 0.5000 0.5000
Ho 0.0000 0.5000 0.0000
Te 0.2311 0.7010 0.9700
Te 0.2311 0.7010 0.4622
Te 0.2655 0.2965 0.5310
Te 0.7389 0.7010 0.9700
Te 0.2611 0.2990 0.0300
Te 0.7345 0.7035 0.4690
Te 0.7689 0.2990 0.5378
Te 0.7689 0.2990 0.0300

Calculated values
Space group ... R-3m, No. 166
VASP energy ... -4.38 eV/atom
Total moment ... 0.0 μB/f.u.

***

Rb3Sm3HoTe8: relaxed, GGA-PBE.

Lattice parameters (Å, degrees): 8.9513 8.9548 10.2546 115.90 90.00 119.99
Positions (direct):
Rb 0.0000 0.0000 0.0000
Rb 0.0000 0.5000 0.0000
Rb 0.5000 0.5000 0.0000
Sm 0.5000 0.0000 0.5000
Sm 0.5000 0.5000 0.5000
Sm 0.0000 0.5000 0.5000
Ho 0.0000 0.0000 0.5000
Te 0.2652 0.5305 0.2958
Te 0.7348 0.4695 0.7042
Te 0.7689 0.5377 0.3000
Te 0.2311 0.4623 0.7000
Te 0.7688 0.0310 0.3000
Te 0.2312 0.9690 0.7000
Te 0.2621 0.0310 0.3000
Te 0.7379 0.9690 0.7000

Calculated values
Space group ... R-3m, No. 166
VASP energy ... -4.44 eV/atom
Total moment ... 0.0 μB/f.u.